<one>
# NbZnCoCu

A geometry-optimized NbZnCoCu structure (PBE, OQMD).

Cell and atoms, written as POSCAR:
```
NbZnCoCu
1.0
0.0000 3.0071 3.0071
3.0071 0.0000 3.0071
3.0071 3.0071 0.0000
Co Cu Nb Zn
1 1 1 1
Cartesian
3.0071 3.0071 3.0071 Co
4.5107 4.5107 4.5107 Cu
1.5036 1.5036 1.5036 Nb
0.0000 0.0000 0.0000 Zn
```

Summary:
ρ = 8.6 g/cm³

***

<two>
# NbZnCoCu

A geometry-optimized NbZnCoCu structure (PBE, OQMD).

Cell and atoms, written as POSCAR:
```
NbZnCoCu
1.0
-1.9336 0.8779 3.6725
-2.8205 3.1619 0.2093
-4.1246 -0.8655 0.4855
Co Zn Nb Cu
1 1 1 1
Cartesian
-6.6590 2.3808 3.2755 Co
0.0000 0.0000 0.0000 Zn
-4.4393 1.5872 2.1836 Nb
-2.2197 0.7936 1.0918 Cu
```

Summary:
ρ = 8.6 g/cm³

***

Pick <two>: it beats the second-best structure by 89 meV/atom.

***

<one>
# CoCuNiPb

A geometry-optimized CoCuNiPb structure (PBE, OQMD).

Cell and atoms, written as POSCAR:
```
CoCuNiPb
1.0
0.0000 3.0411 3.0411
3.0411 0.0000 3.0411
3.0411 3.0411 0.0000
Ni Co Cu Pb
1 1 1 1
Cartesian
4.5617 4.5617 4.5617 Ni
3.0411 3.0411 3.0411 Co
1.5206 1.5206 1.5206 Cu
0.0000 0.0000 0.0000 Pb
```

Summary:
ρ = 11.5 g/cm³

***

<two>
# CoCuNiPb

A geometry-optimized CoCuNiPb structure (PBE, OQMD).

Cell and atoms, written as POSCAR:
```
CoCuNiPb
1.0
0.0000 3.0387 3.0387
3.0387 0.0000 3.0387
3.0387 3.0387 0.0000
Cu Ni Pb Co
1 1 1 1
Cartesian
4.5580 4.5580 4.5580 Cu
3.0387 3.0387 3.0387 Ni
1.5193 1.5193 1.5193 Pb
0.0000 0.0000 0.0000 Co
```

Summary:
ρ = 11.5 g/cm³

***

Pick <two>: it beats the second-best structure by 114 meV/atom.

***

<one>
# ZnCoCuNi

A geometry-optimized ZnCoCuNi structure (PBE, OQMD).

Cell and atoms, written as POSCAR:
```
ZnCoCuNi
1.0
0.0001 2.8572 2.8572
2.8572 0.0001 2.8572
2.8572 2.8572 0.0001
Cu Zn Ni Co
1 1 1 1
Cartesian
2.8572 2.8572 2.8572 Cu
1.4286 1.4286 1.4286 Zn
4.2859 4.2859 4.2859 Ni
0.0000 0.0000 0.0000 Co
```

Summary:
ρ = 8.8 g/cm³

***

<two>
# ZnCoCuNi

A geometry-optimized ZnCoCuNi structure (PBE, OQMD).

Cell and atoms, written as POSCAR:
```
ZnCoCuNi
1.0
0.0000 2.8424 2.8424
2.8424 0.0000 2.8424
2.8424 2.8424 0.0000
Cu Ni Co Zn
1 1 1 1
Cartesian
2.8424 2.8424 2.8424 Cu
4.2636 4.2636 4.2636 Ni
1.4212 1.4212 1.4212 Co
0.0000 0.0000 0.0000 Zn
```

Summary:
ρ = 8.9 g/cm³

***

Pick <two>: it beats the second-best structure by 5 meV/atom.

***

<one>
# TaCoCuPb

A geometry-optimized TaCoCuPb structure (PBE, OQMD).

Cell and atoms, written as POSCAR:
```
TaCoCuPb
1.0
-4.3406 -0.1289 1.2424
-3.2258 1.1651 -2.9389
-2.7452 -3.1540 -1.7080
Co Ta Cu Pb
1 1 1 1
Cartesian
-5.1558 -1.0589 -1.7022 Co
-2.5779 -0.5294 -0.8511 Ta
-7.7337 -1.5883 -2.5534 Cu
0.0000 0.0000 0.0000 Pb
```

Summary:
ρ = 13.0 g/cm³

***

<two>
# TaCoCuPb

A geometry-optimized TaCoCuPb structure (PBE, OQMD).

Cell and atoms, written as POSCAR:
```
TaCoCuPb
1.0
0.0000 3.1924 3.1924
3.1924 0.0000 3.1924
3.1924 3.1924 0.0000
Ta Pb Cu Co
1 1 1 1
Cartesian
1.5962 1.5962 1.5962 Ta
0.0000 0.0000 0.0000 Pb
3.1924 3.1924 3.1924 Cu
4.7886 4.7886 4.7886 Co
```

Summary:
ρ = 13.0 g/cm³

***

<three>
# TaCoCuPb

A geometry-optimized TaCoCuPb structure (PBE, OQMD).

Cell and atoms, written as POSCAR:
```
TaCoCuPb
1.0
2.8598 -1.0648 3.2600
0.4841 2.7073 3.5179
-1.5398 -1.2435 4.0028
Pb Co Cu Ta
1 1 1 1
Cartesian
0.0000 0.0000 0.0000 Pb
1.3531 0.2992 8.0856 Co
0.4510 0.0997 2.6952 Cu
0.9020 0.1995 5.3904 Ta
```

Summary:
ρ = 13.5 g/cm³

***

Pick <three>: it beats the second-best structure by 203 meV/atom.